This record from the Open Quantum Materials Database describes a relaxed structure of LiLuFeTe. The functional is PBE.

Properties
Uncorrected energy = -4.7203 eV/atom
Space group = No. 216

Geometry as POSCAR:
```
LiLuFeTe
1.0
-0.305 2.288 3.849
-0.420 4.468 -0.073
-3.889 1.908 1.174
Fe Li Lu Te
1 1 1 1
Direct
0.250 0.250 0.250
0.750 0.750 0.750
0.500 0.500 0.500
0.000 0.000 0.000
```